Compound: Y2BeCo
Source: Alexandria via LeMat-Bulk
Functional: GGA-PBE
Structure: optimized geometry Values from VASP.

Cell and atoms, written as Quantum ESPRESSO input:
```
&SYSTEM
  ibrav = 0, nat = 4, ntyp = 3
/
ATOMIC_SPECIES
Y 88.91 Y.upf
Be 9.01 Be.upf
Co 58.93 Co.upf
CELL_PARAMETERS angstrom
3.209 0.000 0.000
0.000 3.209 0.000
0.000 0.000 7.693
ATOMIC_POSITIONS angstrom
Y 0.000 0.000 7.128
Y 1.604 1.604 2.518
Be 0.000 0.000 4.414
Co 1.604 1.604 5.171
```

Values from the calculation:
Energy of formation   60 meV/atom